(1)
Here is a geometry-optimized CeFeSn structure from the Alexandria database. Energies are from PBE.

Unit cell a=6.1251 b=6.2954 c=9.0179 alpha=90.00 beta=131.15 gamma=90.00
Positions (direct):
Ce  0.1049  0.1249  0.3850
Ce  0.1049  0.3751  0.8850
Ce  0.8951  0.6249  0.1150
Ce  0.8951  0.8751  0.6150
Fe  0.1340  0.1361  0.1642
Fe  0.1340  0.3639  0.6642
Fe  0.8660  0.6361  0.3358
Fe  0.8660  0.8639  0.8358
Sn  0.4213  0.6207  0.6189
Sn  0.4213  0.8793  0.1189
Sn  0.5787  0.1207  0.8811
Sn  0.5787  0.3793  0.3811

Summary:
**VASP energy**: -6.62 eV per atom
**Crystal system**: monoclinic

=====

(2)
Here is a geometry-optimized Ce8FeSn4 structure from the Alexandria database. Energies are from PBE.

Unit cell a=5.2062 b=4.1911 c=15.6150 alpha=90.00 beta=92.46 gamma=90.00
Positions (direct):
Ce  0.0000  0.0000  0.0000
Ce  0.0136  0.0000  0.3260
Ce  0.0342  0.5000  0.4574
Ce  0.4929  0.0000  0.1540
Ce  0.5095  0.5000  0.2885
Ce  0.5373  0.0000  0.8092
Ce  0.5949  0.5000  0.6135
Ce  0.9286  0.5000  0.8213
Fe  0.3242  0.5000  0.7095
Sn  0.0542  0.0000  0.6574
Sn  0.4854  0.5000  0.9735
Sn  0.5292  0.0000  0.4481
Sn  0.9929  0.5000  0.1649

Summary:
**VASP energy**: -5.94 eV per atom
**Crystal system**: monoclinic

=====

(3)
Here is a geometry-optimized Ce5FeSn2 structure from the Alexandria database. Energies are from PBE.

Unit cell a=6.5631 b=6.5631 c=7.0776 alpha=122.54 beta=122.54 gamma=64.96
Positions (direct):
Ce  0.0000  0.0000  0.0000
Ce  0.4249  0.9213  0.3812
Ce  0.4473  0.9644  0.9201
Ce  0.9213  0.4249  0.3812
Ce  0.9644  0.4473  0.9201
Fe  0.6386  0.6386  0.6695
Sn  0.4439  0.4439  0.8673
Sn  0.9431  0.9431  0.4216

Summary:
**VASP energy**: -6.04 eV per atom
**Crystal system**: monoclinic

=====

(4)
Here is a geometry-optimized Ce7Fe2Sn2 structure from the Alexandria database. Energies are from PBE.

Unit cell a=6.8324 b=6.8324 c=6.6741 alpha=90.06 beta=90.06 gamma=69.83
Positions (direct):
Ce  0.0000  0.0000  0.0000
Ce  0.0002  0.5003  0.2532
Ce  0.9998  0.4997  0.7468
Ce  0.5003  0.0002  0.2532
Ce  0.4997  0.9998  0.7468
Ce  0.5002  0.5002  0.2031
Ce  0.4998  0.4998  0.7969
Fe  0.2691  0.2691  0.0000
Fe  0.7309  0.7309  0.0000
Sn  0.1807  0.8193  0.5000
Sn  0.8193  0.1807  0.5000

Summary:
**VASP energy**: -6.19 eV per atom
**Crystal system**: monoclinic

=====

Number 1: total magnetic moment 0.000 Bohr magnetons per cell. Number 2: total magnetic moment 3.136 Bohr magnetons per cell. Number 3: total magnetic moment 0.113 Bohr magnetons per cell. Number 4: total magnetic moment 1.694 Bohr magnetons per cell.